(1)
First-principles (PBE-GGA) data for crystalline DyEr5Zn6 at its relaxed geometry, as listed in Alexandria.

POSCAR file:
```
DyEr5Zn6
1.0
-4.5950 -0.7543 -1.8308
-2.2584 -1.9109 6.4561
-4.0666 6.7685 0.5807
Zn Er Dy
6 5 1
Cartesian
-6.8770 0.2061 3.5012
-5.7551 1.1554 0.2942
-2.8648 -0.8571 0.7061
-3.9886 -1.8081 3.9191
-5.1649 2.9479 4.9118
-4.0430 3.8972 1.7047
-6.9056 3.0620 2.3963
-2.8892 2.0127 -0.4150
-1.1292 -0.9554 3.2281
-5.7724 4.0015 -0.8351
-4.0144 1.0413 2.8097
0.0000 0.0000 0.0000
```

Properties
total moment = 0.0 μB per formula unit
theoretical density = 8.7 g/cm³
VASP energy = -3.27 eV/atom


(2)
First-principles (PBE-GGA) data for crystalline Dy2ErZn6 at its relaxed geometry, as listed in Alexandria.

POSCAR file:
```
Dy2ErZn6
1.0
3.4858 0.0000 0.0000
0.0000 6.7004 -3.8684
0.0000 0.0000 7.7369
Dy Er Zn
2 1 6
Cartesian
0.0000 2.2334 3.8685
3.4858 4.4669 0.0000
0.0000 0.0000 7.7369
1.7429 2.2290 1.2869
1.7429 4.4714 2.5816
1.7429 0.0000 5.1631
1.7429 4.4714 5.1554
1.7429 2.2290 -1.2869
1.7429 6.7004 -1.2947
```

Properties
total moment = 0.0 μB per formula unit
theoretical density = 8.1 g/cm³
VASP energy = -2.76 eV/atom